Record 1
# PBE-GGA LiRu3Pt, relaxed
# Space group = Pm-3m, No. 221
# ΔH_f (0 K) = 932 meV/atom
# Excess energy over the best structure of this formula in the dataset = 0.000 eV per atom
data_LiRu3Pt
_space_group_name_H-M_alt 'P 1'
_space_group_IT_number 1
_cell_length_a 4.077
_cell_length_b 4.077
_cell_length_c 4.077
_cell_angle_alpha 90.00
_cell_angle_beta 90.00
_cell_angle_gamma 90.00
loop_
_space_group_symop_operation_xyz
'x,y,z'
loop_
_atom_site_label
_atom_site_type_symbol
_atom_site_fract_x
_atom_site_fract_y
_atom_site_fract_z
_atom_site_occupancy
Li1 Li 0.000 0.000 0.000 1
Ru1 Ru 0.000 0.000 0.500 1
Ru2 Ru 0.000 0.500 0.000 1
Ru3 Ru 0.500 0.000 0.000 1
Pt1 Pt 0.500 0.500 0.500 1



Record 2
# PBE-GGA PuTa2FeN4, relaxed
# Space group = Cmcm, No. 63
# Uncorrected formation energy = -956 meV per atom
data_PuTa2FeN4
_space_group_name_H-M_alt 'P 1'
_space_group_IT_number 1
_cell_length_a 5.569
_cell_length_b 5.569
_cell_length_c 10.795
_cell_angle_alpha 90.00
_cell_angle_beta 90.00
_cell_angle_gamma 147.21
loop_
_space_group_symop_operation_xyz
'x,y,z'
loop_
_atom_site_label
_atom_site_type_symbol
_atom_site_fract_x
_atom_site_fract_y
_atom_site_fract_z
_atom_site_occupancy
Pu1 Pu 0.109 0.891 0.750 1
Pu2 Pu 0.891 0.109 0.250 1
Ta1 Ta 0.369 0.631 0.557 1
Ta2 Ta 0.369 0.631 0.943 1
Ta3 Ta 0.631 0.369 0.057 1
Ta4 Ta 0.631 0.369 0.443 1
Fe1 Fe 0.159 0.841 0.250 1
Fe2 Fe 0.841 0.159 0.750 1
N1 N 0.000 0.000 0.000 1
N2 N 0.000 0.000 0.500 1
N3 N 0.272 0.728 0.112 1
N4 N 0.272 0.728 0.388 1
N5 N 0.448 0.552 0.750 1
N6 N 0.552 0.448 0.250 1
N7 N 0.728 0.272 0.612 1
N8 N 0.728 0.272 0.888 1



Record 3
# PBE-GGA Pu3InB2Rh9, relaxed
# Space group = P-3m1, No. 164
# ΔH_f (0 K) = -377 meV/atom
data_Pu3InB2Rh9
_space_group_name_H-M_alt 'P 1'
_space_group_IT_number 1
_cell_length_a 5.792
_cell_length_b 5.792
_cell_length_c 9.110
_cell_angle_alpha 90.00
_cell_angle_beta 90.00
_cell_angle_gamma 120.00
loop_
_space_group_symop_operation_xyz
'x,y,z'
loop_
_atom_site_label
_atom_site_type_symbol
_atom_site_fract_x
_atom_site_fract_y
_atom_site_fract_z
_atom_site_occupancy
Pu1 Pu 0.000 0.000 0.000 1
Pu2 Pu 0.333 0.667 0.682 1
Pu3 Pu 0.667 0.333 0.318 1
In1 In 0.000 0.000 0.500 1
B1 B 0.333 0.667 0.142 1
B2 B 0.667 0.333 0.858 1
Rh1 Rh 0.000 0.500 0.000 1
Rh2 Rh 0.161 0.322 0.262 1
Rh3 Rh 0.161 0.839 0.262 1
Rh4 Rh 0.322 0.161 0.738 1
Rh5 Rh 0.500 0.000 0.000 1
Rh6 Rh 0.500 0.500 0.000 1
Rh7 Rh 0.678 0.839 0.262 1
Rh8 Rh 0.839 0.161 0.738 1
Rh9 Rh 0.839 0.678 0.738 1



Record 4
# PBE-GGA LiYPa, relaxed
# Space group = P-1, No. 2
# ΔH_f (0 K) = 119 meV/atom
data_LiYPa
_space_group_name_H-M_alt 'P 1'
_space_group_IT_number 1
_cell_length_a 3.285
_cell_length_b 3.424
_cell_length_c 15.985
_cell_angle_alpha 90.68
_cell_angle_beta 90.20
_cell_angle_gamma 118.24
loop_
_space_group_symop_operation_xyz
'x,y,z'
loop_
_atom_site_label
_atom_site_type_symbol
_atom_site_fract_x
_atom_site_fract_y
_atom_site_fract_z
_atom_site_occupancy
Li1 Li 0.157 0.307 0.426 1
Li2 Li 0.843 0.693 0.574 1
Y1 Y 0.468 0.922 0.253 1
Y2 Y 0.532 0.078 0.747 1
Pa1 Pa 0.126 0.251 0.079 1
Pa2 Pa 0.874 0.749 0.921 1



Record 5
# PBE-GGA InNi, relaxed
# Space group = Fm-3m, No. 225
# ΔH_f (0 K) = 203 meV/atom
data_InNi
_space_group_name_H-M_alt 'P 1'
_space_group_IT_number 1
_cell_length_a 5.244
_cell_length_b 5.244
_cell_length_c 5.244
_cell_angle_alpha 90.00
_cell_angle_beta 90.00
_cell_angle_gamma 90.00
loop_
_space_group_symop_operation_xyz
'x,y,z'
loop_
_atom_site_label
_atom_site_type_symbol
_atom_site_fract_x
_atom_site_fract_y
_atom_site_fract_z
_atom_site_occupancy
In1 In 0.000 0.000 0.000 1
In2 In 0.000 0.500 0.500 1
In3 In 0.500 0.000 0.500 1
In4 In 0.500 0.500 0.000 1
Ni1 Ni 0.000 0.000 0.500 1
Ni2 Ni 0.000 0.500 0.000 1
Ni3 Ni 0.500 0.000 0.000 1
Ni4 Ni 0.500 0.500 0.500 1



Record 6
# PBE-GGA Ho2ErCu6, relaxed
# Space group = P6/mmm, No. 191
# ΔH_f (0 K) = -263 meV/atom
data_Ho2ErCu6
_space_group_name_H-M_alt 'P 1'
_space_group_IT_number 1
_cell_length_a 7.311
_cell_length_b 7.311
_cell_length_c 3.517
_cell_angle_alpha 90.00
_cell_angle_beta 90.00
_cell_angle_gamma 120.00
loop_
_space_group_symop_operation_xyz
'x,y,z'
loop_
_atom_site_label
_atom_site_type_symbol
_atom_site_fract_x
_atom_site_fract_y
_atom_site_fract_z
_atom_site_occupancy
Ho1 Ho 0.333 0.667 0.000 1
Ho2 Ho 0.667 0.333 0.000 1
Er1 Er 0.000 0.000 0.000 1
Cu1 Cu 0.000 0.333 0.500 1
Cu2 Cu 0.000 0.667 0.500 1
Cu3 Cu 0.333 0.000 0.500 1
Cu4 Cu 0.333 0.333 0.500 1
Cu5 Cu 0.667 0.000 0.500 1
Cu6 Cu 0.667 0.667 0.500 1



Record 7
# PBE-GGA KBaTe2, relaxed
# Space group = P4/mmm, No. 123
# Uncorrected formation energy = -1168 meV per atom
data_KBaTe2
_space_group_name_H-M_alt 'P 1'
_space_group_IT_number 1
_cell_length_a 4.475
_cell_length_b 4.475
_cell_length_c 7.566
_cell_angle_alpha 90.00
_cell_angle_beta 90.00
_cell_angle_gamma 90.00
loop_
_space_group_symop_operation_xyz
'x,y,z'
loop_
_atom_site_label
_atom_site_type_symbol
_atom_site_fract_x
_atom_site_fract_y
_atom_site_fract_z
_atom_site_occupancy
K1 K 0.000 0.000 0.000 1
Ba1 Ba 0.000 0.000 0.500 1
Te1 Te 0.500 0.500 0.264 1
Te2 Te 0.500 0.500 0.736 1



Record 8
# PBE-GGA NiHgTe2P, relaxed
# Space group = P4/mmm, No. 123
# Uncorrected formation energy = 269 meV per atom
data_NiHgTe2P
_space_group_name_H-M_alt 'P 1'
_space_group_IT_number 1
_cell_length_a 5.451
_cell_length_b 5.451
_cell_length_c 4.088
_cell_angle_alpha 90.00
_cell_angle_beta 90.00
_cell_angle_gamma 90.00
loop_
_space_group_symop_operation_xyz
'x,y,z'
loop_
_atom_site_label
_atom_site_type_symbol
_atom_site_fract_x
_atom_site_fract_y
_atom_site_fract_z
_atom_site_occupancy
Ni1 Ni 0.000 0.000 0.000 1
Hg1 Hg 0.500 0.500 0.500 1
Te1 Te 0.000 0.500 0.000 1
Te2 Te 0.500 0.000 0.000 1
P1 P 0.000 0.000 0.500 1



Record 9
# PBE-GGA Ti3BiO, relaxed
# Space group = Pm-3m, No. 221
# Excess energy over the best structure of this formula in the dataset = 0.000 eV per atom
# Uncorrected formation energy = -962 meV per atom
data_Ti3BiO
_space_group_name_H-M_alt 'P 1'
_space_group_IT_number 1
_cell_length_a 4.268
_cell_length_b 4.268
_cell_length_c 4.268
_cell_angle_alpha 90.00
_cell_angle_beta 90.00
_cell_angle_gamma 90.00
loop_
_space_group_symop_operation_xyz
'x,y,z'
loop_
_atom_site_label
_atom_site_type_symbol
_atom_site_fract_x
_atom_site_fract_y
_atom_site_fract_z
_atom_site_occupancy
Ti1 Ti 0.000 0.000 0.500 1
Ti2 Ti 0.000 0.500 0.000 1
Ti3 Ti 0.500 0.000 0.000 1
Bi1 Bi 0.500 0.500 0.500 1
O1 O 0.000 0.000 0.000 1



Record 10
# PBE-GGA RhBr3, relaxed
# Space group = P4/mmm, No. 123
# Uncorrected formation energy = 823 meV per atom
data_RhBr3
_space_group_name_H-M_alt 'P 1'
_space_group_IT_number 1
_cell_length_a 5.201
_cell_length_b 5.201
_cell_length_c 3.366
_cell_angle_alpha 90.00
_cell_angle_beta 90.00
_cell_angle_gamma 90.00
loop_
_space_group_symop_operation_xyz
'x,y,z'
loop_
_atom_site_label
_atom_site_type_symbol
_atom_site_fract_x
_atom_site_fract_y
_atom_site_fract_z
_atom_site_occupancy
Rh1 Rh 0.000 0.000 0.000 1
Br1 Br 0.000 0.500 0.500 1
Br2 Br 0.500 0.000 0.500 1
Br3 Br 0.500 0.500 0.000 1



Record 11
# PBE-GGA NdSm6DyY2, relaxed
# Space group = C2/c, No. 15
# ΔH_f (0 K) = 122 meV/atom
data_NdSm6DyY2
_space_group_name_H-M_alt 'P 1'
_space_group_IT_number 1
_cell_length_a 8.924
_cell_length_b 8.924
_cell_length_c 9.632
_cell_angle_alpha 93.67
_cell_angle_beta 93.67
_cell_angle_gamma 117.23
loop_
_space_group_symop_operation_xyz
'x,y,z'
loop_
_atom_site_label
_atom_site_type_symbol
_atom_site_fract_x
_atom_site_fract_y
_atom_site_fract_z
_atom_site_occupancy
Nd1 Nd 0.093 0.907 0.750 1
Nd2 Nd 0.907 0.093 0.250 1
Sm1 Sm 0.014 0.794 0.381 1
Sm2 Sm 0.066 0.517 0.184 1
Sm3 Sm 0.206 0.986 0.119 1
Sm4 Sm 0.259 0.613 0.556 1
Sm5 Sm 0.387 0.741 0.944 1
Sm6 Sm 0.483 0.934 0.316 1
Sm7 Sm 0.517 0.066 0.684 1
Sm8 Sm 0.613 0.259 0.056 1
Sm9 Sm 0.741 0.387 0.444 1
Sm10 Sm 0.794 0.014 0.881 1
Sm11 Sm 0.934 0.483 0.816 1
Sm12 Sm 0.986 0.206 0.619 1
Dy1 Dy 0.469 0.531 0.250 1
Dy2 Dy 0.531 0.469 0.750 1
Y1 Y 0.206 0.303 0.953 1
Y2 Y 0.303 0.206 0.453 1
Y3 Y 0.697 0.794 0.547 1
Y4 Y 0.794 0.697 0.047 1



Record 12
# PBE-GGA La2Pm2InGa4, relaxed
# Space group = I4/mmm, No. 139
# ΔH_f (0 K) = -260 meV/atom
data_La2Pm2InGa4
_space_group_name_H-M_alt 'P 1'
_space_group_IT_number 1
_cell_length_a 6.963
_cell_length_b 6.963
_cell_length_c 6.963
_cell_angle_alpha 117.21
_cell_angle_beta 117.21
_cell_angle_gamma 94.90
loop_
_space_group_symop_operation_xyz
'x,y,z'
loop_
_atom_site_label
_atom_site_type_symbol
_atom_site_fract_x
_atom_site_fract_y
_atom_site_fract_z
_atom_site_occupancy
La1 La 0.250 0.750 0.500 1
La2 La 0.750 0.250 0.500 1
Pm1 Pm 0.184 0.184 0.000 1
Pm2 Pm 0.816 0.816 0.000 1
In1 In 0.500 0.500 0.000 1
Ga1 Ga 0.242 0.242 0.484 1
Ga2 Ga 0.242 0.758 0.000 1
Ga3 Ga 0.758 0.242 0.000 1
Ga4 Ga 0.758 0.758 0.516 1



Record 13
# PBE-GGA Ba2CdTe, relaxed
# Space group = Cm, No. 8
# Excess energy over the best structure of this formula in the dataset = 0.059 eV per atom
# Uncorrected formation energy = -866 meV per atom
data_Ba2CdTe
_space_group_name_H-M_alt 'P 1'
_space_group_IT_number 1
_cell_length_a 13.153
_cell_length_b 4.752
_cell_length_c 5.311
_cell_angle_alpha 90.00
_cell_angle_beta 90.11
_cell_angle_gamma 90.00
loop_
_space_group_symop_operation_xyz
'x,y,z'
loop_
_atom_site_label
_atom_site_type_symbol
_atom_site_fract_x
_atom_site_fract_y
_atom_site_fract_z
_atom_site_occupancy
Ba1 Ba 0.000 0.000 0.000 1
Ba2 Ba 0.239 0.500 0.499 1
Ba3 Ba 0.500 0.500 0.000 1
Ba4 Ba 0.739 0.000 0.499 1
Cd1 Cd 0.270 0.000 0.999 1
Cd2 Cd 0.770 0.500 0.999 1
Te1 Te 0.465 0.000 0.500 1
Te2 Te 0.965 0.500 0.500 1



Record 14
# PBE-GGA TbMgAs, relaxed
# Space group = Pnma, No. 62
# ΔH_f (0 K) = -706 meV/atom
data_TbMgAs
_space_group_name_H-M_alt 'P 1'
_space_group_IT_number 1
_cell_length_a 10.436
_cell_length_b 4.345
_cell_length_c 6.532
_cell_angle_alpha 90.00
_cell_angle_beta 90.00
_cell_angle_gamma 90.00
loop_
_space_group_symop_operation_xyz
'x,y,z'
loop_
_atom_site_label
_atom_site_type_symbol
_atom_site_fract_x
_atom_site_fract_y
_atom_site_fract_z
_atom_site_occupancy
Tb1 Tb 0.165 0.250 0.046 1
Tb2 Tb 0.335 0.750 0.546 1
Tb3 Tb 0.665 0.250 0.454 1
Tb4 Tb 0.835 0.750 0.954 1
Mg1 Mg 0.101 0.250 0.534 1
Mg2 Mg 0.399 0.750 0.034 1
Mg3 Mg 0.601 0.250 0.966 1
Mg4 Mg 0.899 0.750 0.466 1
As1 As 0.084 0.750 0.771 1
As2 As 0.416 0.250 0.271 1
As3 As 0.584 0.750 0.729 1
As4 As 0.916 0.250 0.229 1



Record 15
# PBE-GGA Mn2NiPt, relaxed
# Space group = I-42d, No. 122
# ΔH_f (0 K) = 374 meV/atom
data_Mn2NiPt
_space_group_name_H-M_alt 'P 1'
_space_group_IT_number 1
_cell_length_a 3.535
_cell_length_b 3.535
_cell_length_c 16.864
_cell_angle_alpha 90.00
_cell_angle_beta 90.00
_cell_angle_gamma 90.00
loop_
_space_group_symop_operation_xyz
'x,y,z'
loop_
_atom_site_label
_atom_site_type_symbol
_atom_site_fract_x
_atom_site_fract_y
_atom_site_fract_z
_atom_site_occupancy
Mn1 Mn 0.186 0.250 0.125 1
Mn2 Mn 0.250 0.686 0.375 1
Mn3 Mn 0.250 0.814 0.875 1
Mn4 Mn 0.314 0.250 0.625 1
Mn5 Mn 0.686 0.750 0.625 1
Mn6 Mn 0.750 0.186 0.875 1
Mn7 Mn 0.750 0.314 0.375 1
Mn8 Mn 0.814 0.750 0.125 1
Ni1 Ni 0.000 0.000 0.000 1
Ni2 Ni 0.000 0.500 0.250 1
Ni3 Ni 0.500 0.000 0.750 1
Ni4 Ni 0.500 0.500 0.500 1
Pt1 Pt 0.000 0.000 0.500 1
Pt2 Pt 0.000 0.500 0.750 1
Pt3 Pt 0.500 0.000 0.250 1
Pt4 Pt 0.500 0.500 0.000 1



Record 16
# PBE-GGA MnCdW2, relaxed
# Space group = P2/m, No. 10
# ΔH_f (0 K) = 485 meV/atom
data_MnCdW2
_space_group_name_H-M_alt 'P 1'
_space_group_IT_number 1
_cell_length_a 2.716
_cell_length_b 4.349
_cell_length_c 5.522
_cell_angle_alpha 90.00
_cell_angle_beta 102.06
_cell_angle_gamma 90.00
loop_
_space_group_symop_operation_xyz
'x,y,z'
loop_
_atom_site_label
_atom_site_type_symbol
_atom_site_fract_x
_atom_site_fract_y
_atom_site_fract_z
_atom_site_occupancy
Mn1 Mn 0.000 0.000 0.000 1
Cd1 Cd 0.000 0.000 0.500 1
W1 W 0.463 0.500 0.227 1
W2 W 0.537 0.500 0.773 1



Record 17
# PBE-GGA YTeAs2, relaxed
# Space group = R3m, No. 160
# Uncorrected formation energy = -579 meV per atom
data_YTeAs2
_space_group_name_H-M_alt 'P 1'
_space_group_IT_number 1
_cell_length_a 4.228
_cell_length_b 4.228
_cell_length_c 21.643
_cell_angle_alpha 90.00
_cell_angle_beta 90.00
_cell_angle_gamma 120.00
loop_
_space_group_symop_operation_xyz
'x,y,z'
loop_
_atom_site_label
_atom_site_type_symbol
_atom_site_fract_x
_atom_site_fract_y
_atom_site_fract_z
_atom_site_occupancy
Y1 Y 0.000 0.000 0.000 1
Y2 Y 0.333 0.667 0.667 1
Y3 Y 0.667 0.333 0.333 1
Te1 Te 0.000 0.000 0.251 1
Te2 Te 0.333 0.667 0.918 1
Te3 Te 0.667 0.333 0.584 1
As1 As 0.000 0.000 0.460 1
As2 As 0.000 0.000 0.751 1
As3 As 0.333 0.667 0.126 1
As4 As 0.333 0.667 0.417 1
As5 As 0.667 0.333 0.084 1
As6 As 0.667 0.333 0.793 1



Record 18
# PBE-GGA TbNpCuO6, relaxed
# Space group = P312, No. 149
# Uncorrected formation energy = -2152 meV per atom
data_TbNpCuO6
_space_group_name_H-M_alt 'P 1'
_space_group_IT_number 1
_cell_length_a 5.677
_cell_length_b 5.677
_cell_length_c 4.389
_cell_angle_alpha 90.00
_cell_angle_beta 90.00
_cell_angle_gamma 120.00
loop_
_space_group_symop_operation_xyz
'x,y,z'
loop_
_atom_site_label
_atom_site_type_symbol
_atom_site_fract_x
_atom_site_fract_y
_atom_site_fract_z
_atom_site_occupancy
Tb1 Tb 0.000 0.000 0.000 1
Np1 Np 0.333 0.667 0.000 1
Cu1 Cu 0.667 0.333 0.500 1
O1 O 0.022 0.365 0.240 1
O2 O 0.022 0.658 0.760 1
O3 O 0.342 0.365 0.760 1
O4 O 0.342 0.978 0.240 1
O5 O 0.635 0.658 0.240 1
O6 O 0.635 0.978 0.760 1



Record 19
# PBE-GGA Sr2Pm2Hg3, relaxed
# Space group = R-3m, No. 166
# ΔH_f (0 K) = -379 meV/atom
data_Sr2Pm2Hg3
_space_group_name_H-M_alt 'P 1'
_space_group_IT_number 1
_cell_length_a 9.754
_cell_length_b 9.754
_cell_length_c 9.754
_cell_angle_alpha 32.04
_cell_angle_beta 32.04
_cell_angle_gamma 32.04
loop_
_space_group_symop_operation_xyz
'x,y,z'
loop_
_atom_site_label
_atom_site_type_symbol
_atom_site_fract_x
_atom_site_fract_y
_atom_site_fract_z
_atom_site_occupancy
Sr1 Sr 0.125 0.125 0.125 1
Sr2 Sr 0.875 0.875 0.875 1
Pm1 Pm 0.373 0.373 0.373 1
Pm2 Pm 0.627 0.627 0.627 1
Hg1 Hg 0.000 0.000 0.000 1
Hg2 Hg 0.255 0.255 0.255 1
Hg3 Hg 0.745 0.745 0.745 1



Record 20
# PBE-GGA YBi3As, relaxed
# Space group = Pm-3m, No. 221
# ΔH_f (0 K) = 258 meV/atom
# Excess energy over the best structure of this formula in the dataset = 0.000 eV per atom
data_YBi3As
_space_group_name_H-M_alt 'P 1'
_space_group_IT_number 1
_cell_length_a 5.533
_cell_length_b 5.533
_cell_length_c 5.533
_cell_angle_alpha 90.00
_cell_angle_beta 90.00
_cell_angle_gamma 90.00
loop_
_space_group_symop_operation_xyz
'x,y,z'
loop_
_atom_site_label
_atom_site_type_symbol
_atom_site_fract_x
_atom_site_fract_y
_atom_site_fract_z
_atom_site_occupancy
Y1 Y 0.000 0.000 0.000 1
Bi1 Bi 0.000 0.500 0.500 1
Bi2 Bi 0.500 0.000 0.500 1
Bi3 Bi 0.500 0.500 0.000 1
As1 As 0.500 0.500 0.500 1